AcPrHoEr2 | PBE-GGA | relaxed

a b c (Å): 6.4917 6.4442 9.3679
angles (deg): 110.12 90.00 90.00
Last column: nearest neighbours and their distance in Å.
Atoms (fractional coordinates):
Er: 0.5000 0.7496 0.0000  4 Er 3.22-3.25, 2 Pr 3.53, 2 Ac 3.60
Ac: 0.7500 0.3417 0.6834  1 Pr 3.32, 2 Ho 3.51, 4 Er 3.60
Ho: 0.7500 0.7348 0.4695  4 Ac 3.51-3.73, 4 Pr 3.53-3.80
Er: 0.0000 0.7496 0.0000  4 Er 3.22-3.25, 2 Pr 3.53, 2 Ac 3.60
Ac: 0.2500 0.6583 0.3166  1 Pr 3.32, 2 Ho 3.51, 4 Er 3.60
Er: 0.0000 0.2504 0.0000  4 Er 3.22-3.25, 2 Pr 3.53, 2 Ac 3.60
Pr: 0.7500 0.1528 0.3056  1 Ac 3.32, 2 Ho 3.53, 4 Er 3.53
Pr: 0.2500 0.8472 0.6944  1 Ac 3.32, 2 Ho 3.53, 4 Er 3.53
Ho: 0.2500 0.2652 0.5305  4 Ac 3.51-3.73, 4 Pr 3.53-3.80
Er: 0.5000 0.2504 0.0000  4 Er 3.22-3.25, 2 Pr 3.53, 2 Ac 3.60

Crystal system: orthorhombic
Total DFT energy (no corrections) (Ha/atom): -0.1519
Space-group type: Cmcm
Size of the total moment (μB/f.u.): 0.0
D(E_F) (states/eV/cell): 16.06